[1]
Compound: SnAsHOs
Source: Alexandria
Functional: PBE-GGA
Structure: optimized geometry

Cell: 4.3306 4.3306 6.1493 Å, 119.33 119.33 43.65°
Sites, in units of the cell vectors:
Sn1 0.0000 0.0000 0.0000
As1 0.7785 0.7785 0.4780
H1 0.5492 0.5492 0.6065
Os1 0.4096 0.4096 0.2974

Values from the calculation:
Crystal system   monoclinic
D(E_F)   0.1277 states/eV/atom
Polymorph energy (0 for the lowest one)   0.001 eV/atom


[2]
Compound: SnAsHOs
Source: Alexandria
Functional: PBE-GGA
Structure: optimized geometry

Cell: 4.0236 4.3804 4.8665 Å, 66.54 65.73 62.86°
Sites, in units of the cell vectors:
Sn1 0.0000 0.0000 0.0000
As1 0.4932 0.4611 0.5478
H1 0.6848 0.5868 0.0384
Os1 0.7750 0.7949 0.6531

Values from the calculation:
Crystal system   triclinic
D(E_F)   0.2558 states/eV/atom
Polymorph energy (0 for the lowest one)   0.014 eV/atom